1.
# NbPdO PBE relaxed
# Space-group type = No. 164
# Total moment = 0.00 μB per atom
# Total energy = -7.443 eV/atom
data_NbPdO
_cell_length_a 3.480
_cell_length_b 3.480
_cell_length_c 9.425
_cell_angle_alpha 90.00
_cell_angle_beta 90.00
_cell_angle_gamma 120.00
_symmetry_space_group_name_H-M 'P 1'
_symmetry_Int_Tables_number 1
_symmetry_space_group_name_Hall 'P 1'
loop_
_atom_site_label
_atom_site_fract_x
_atom_site_fract_y
_atom_site_fract_z
Nb1 0.667 0.333 0.644
Nb2 0.333 0.667 0.356
O1 0.667 0.333 0.378
O2 0.333 0.667 0.622
Pd1 0.667 0.333 0.902
Pd2 0.333 0.667 0.098

2.
# PmNbPdO6 PBE relaxed
# Space-group type = No. 102
# Total moment = 0.00 μB per atom
# Total energy = -7.506 eV/atom
data_PmNbPdO6
_cell_length_a 4.932
_cell_length_b 4.932
_cell_length_c 9.823
_cell_angle_alpha 90.00
_cell_angle_beta 90.00
_cell_angle_gamma 90.00
_symmetry_space_group_name_H-M 'P 1'
_symmetry_Int_Tables_number 1
_symmetry_space_group_name_Hall 'P 1'
loop_
_atom_site_label
_atom_site_fract_x
_atom_site_fract_y
_atom_site_fract_z
O1 0.793 0.207 0.811
O2 0.790 0.210 0.184
O3 0.710 0.710 0.684
O4 0.207 0.793 0.811
O5 0.707 0.707 0.311
O6 0.671 0.671 0.000
O7 0.829 0.171 0.500
O8 0.290 0.290 0.684
O9 0.171 0.829 0.500
O10 0.329 0.329 0.000
O11 0.293 0.293 0.311
O12 0.210 0.790 0.184
Pd1 0.000 0.000 0.333
Pd2 0.500 0.500 0.833
Pm1 0.500 0.500 0.506
Pm2 0.000 0.000 0.006
Nb1 0.500 0.500 0.172
Nb2 0.000 0.000 0.672

3.
# PuNbPdO6 PBE relaxed
# Space-group type = No. 163
# Total moment = 0.11 μB per atom
# Total energy = -8.555 eV/atom
data_PuNbPdO6
_cell_length_a 5.507
_cell_length_b 5.507
_cell_length_c 9.201
_cell_angle_alpha 90.00
_cell_angle_beta 90.00
_cell_angle_gamma 120.00
_symmetry_space_group_name_H-M 'P 1'
_symmetry_Int_Tables_number 1
_symmetry_space_group_name_Hall 'P 1'
loop_
_atom_site_label
_atom_site_fract_x
_atom_site_fract_y
_atom_site_fract_z
O1 0.989 0.350 0.634
O2 0.362 0.011 0.634
O3 0.650 0.638 0.634
O4 0.350 0.362 0.366
O5 0.638 0.650 0.134
O6 0.989 0.638 0.866
O7 0.350 0.989 0.134
O8 0.362 0.350 0.866
O9 0.011 0.650 0.366
O10 0.638 0.989 0.366
O11 0.650 0.011 0.866
O12 0.011 0.362 0.134
Pu1 0.667 0.333 0.250
Pu2 0.333 0.667 0.750
Pd1 0.000 0.000 0.000
Pd2 0.000 0.000 0.500
Nb1 0.667 0.333 0.750
Nb2 0.333 0.667 0.250

4.
# RbNbPdO4 PBE relaxed
# Space-group type = No. 74
# Total moment = 0.00 μB per atom
# Total energy = -6.747 eV/atom
data_RbNbPdO4
_cell_length_a 5.941
_cell_length_b 7.382
_cell_length_c 6.178
_cell_angle_alpha 114.74
_cell_angle_beta 90.00
_cell_angle_gamma 113.73
_symmetry_space_group_name_H-M 'P 1'
_symmetry_Int_Tables_number 1
_symmetry_space_group_name_Hall 'P 1'
loop_
_atom_site_label
_atom_site_fract_x
_atom_site_fract_y
_atom_site_fract_z
Rb1 0.169 0.337 0.919
Rb2 0.831 0.663 0.081
O1 0.295 0.019 0.760
O2 0.674 0.348 0.222
O3 0.724 0.019 0.760
O4 0.705 0.981 0.240
O5 0.674 0.348 0.626
O6 0.326 0.652 0.778
O7 0.326 0.652 0.374
O8 0.276 0.981 0.240
Pd1 0.000 0.500 0.500
Pd2 0.500 0.500 0.500
Nb1 0.500 0.000 0.500
Nb2 0.500 0.000 0.000

5.
# Rb2NbPdO PBE relaxed
# Space-group type = No. 123
# Total moment = 0.99 μB per atom
# Total energy = -3.870 eV/atom
data_Rb2NbPdO
_cell_length_a 6.394
_cell_length_b 3.844
_cell_length_c 6.394
_cell_angle_alpha 90.00
_cell_angle_beta 90.00
_cell_angle_gamma 90.00
_symmetry_space_group_name_H-M 'P 1'
_symmetry_Int_Tables_number 1
_symmetry_space_group_name_Hall 'P 1'
loop_
_atom_site_label
_atom_site_fract_x
_atom_site_fract_y
_atom_site_fract_z
Pd1 0.000 0.500 0.000
Rb1 0.000 0.000 0.500
Rb2 0.500 0.000 0.000
O1 0.000 0.000 0.000
Nb1 0.500 0.500 0.500

6.
# Rb2NbPdO4 PBE relaxed
# Space-group type = No. 82
# Total moment = 0.12 μB per atom
# Total energy = -6.301 eV/atom
data_Rb2NbPdO4
_cell_length_a 5.882
_cell_length_b 5.882
_cell_length_c 5.882
_cell_angle_alpha 103.43
_cell_angle_beta 112.57
_cell_angle_gamma 112.57
_symmetry_space_group_name_H-M 'P 1'
_symmetry_Int_Tables_number 1
_symmetry_space_group_name_Hall 'P 1'
loop_
_atom_site_label
_atom_site_fract_x
_atom_site_fract_y
_atom_site_fract_z
Rb1 0.500 0.750 0.250
Rb2 0.000 0.000 0.000
O1 0.930 0.472 0.150
O2 0.678 0.459 0.528
O3 0.070 0.219 0.541
O4 0.322 0.850 0.781
Nb1 0.000 0.500 0.500
Pd1 0.500 0.250 0.750

7.
# RbNb2PdO6 PBE relaxed
# Space-group type = No. 15
# Total moment = 0.10 μB per atom
# Total energy = -7.546 eV/atom
data_RbNb2PdO6
_cell_length_a 6.536
_cell_length_b 7.909
_cell_length_c 7.909
_cell_angle_alpha 94.91
_cell_angle_beta 75.80
_cell_angle_gamma 75.80
_symmetry_space_group_name_H-M 'P 1'
_symmetry_Int_Tables_number 1
_symmetry_space_group_name_Hall 'P 1'
loop_
_atom_site_label
_atom_site_fract_x
_atom_site_fract_y
_atom_site_fract_z
Nb1 0.176 0.433 0.268
Nb2 0.324 0.732 0.567
Nb3 0.824 0.567 0.732
Nb4 0.676 0.268 0.433
O1 0.413 0.821 0.362
O2 0.087 0.638 0.179
O3 0.780 0.074 0.267
O4 0.220 0.926 0.733
O5 0.280 0.267 0.074
O6 0.559 0.577 0.647
O7 0.941 0.353 0.423
O8 0.441 0.423 0.353
O9 0.587 0.179 0.638
O10 0.059 0.647 0.577
O11 0.720 0.733 0.926
O12 0.913 0.362 0.821
Pd1 0.250 0.261 0.739
Pd2 0.750 0.739 0.261
Rb1 0.250 0.915 0.085
Rb2 0.750 0.085 0.915

8.
# NbRe2PdO PBE relaxed
# Space-group type = No. 123
# Total moment = 0.00 μB per atom
# Total energy = -9.074 eV/atom
data_NbRe2PdO
_cell_length_a 4.094
_cell_length_b 4.202
_cell_length_c 4.094
_cell_angle_alpha 90.00
_cell_angle_beta 90.00
_cell_angle_gamma 90.00
_symmetry_space_group_name_H-M 'P 1'
_symmetry_Int_Tables_number 1
_symmetry_space_group_name_Hall 'P 1'
loop_
_atom_site_label
_atom_site_fract_x
_atom_site_fract_y
_atom_site_fract_z
Re1 0.500 0.000 0.000
Re2 0.000 0.000 0.500
O1 0.000 0.000 0.000
Pd1 0.500 0.500 0.500
Nb1 0.000 0.500 0.000